(1)
The following is a PBE-GGA calculation of a relaxed structure of RbAc3C4O12, from the Alexandria database.

Computed properties:
* E: -7.521 eV/atom

The structure in CIF format:
```
data_RbAc3C4O12
_symmetry_space_group_name_H-M 'R 3 2'
_symmetry_Int_Tables_number 155
_symmetry_space_group_name_Hall 'R 3 2"'
_cell_length_a 10.5938
_cell_length_b 10.5938
_cell_length_c 10.7012
_cell_angle_alpha 90.00
_cell_angle_beta 90.00
_cell_angle_gamma 120.00
loop_
_atom_site_label
_atom_site_type_symbol
_atom_site_fract_x
_atom_site_fract_y
_atom_site_fract_z
_atom_site_occupancy
Rb1 Rb 0.0000 0.0000 0.0000 1
Ac1 Ac 0.0000 0.5228 0.0000 1
C1 C 0.0000 0.0000 0.5000 1
C2 C 0.0000 0.4903 0.5000 1
O1 O 0.0000 0.6149 0.5000 1
O2 O 0.0000 0.8759 0.5000 1
O3 O 0.0482 0.2326 0.7709 1
```


(2)
The following is a PBE-GGA calculation of a relaxed structure of MgPt5, from the Alexandria database.

Computed properties:
* formation energy from the elements: -0.340 eV per atom

The structure in CIF format:
```
data_MgPt5
_symmetry_space_group_name_H-M 'P -6 2 m'
_symmetry_Int_Tables_number 189
_symmetry_space_group_name_Hall 'P -6 -2'
_cell_length_a 4.8729
_cell_length_b 4.8729
_cell_length_c 4.5978
_cell_angle_alpha 90.00
_cell_angle_beta 90.00
_cell_angle_gamma 120.00
loop_
_atom_site_label
_atom_site_type_symbol
_atom_site_fract_x
_atom_site_fract_y
_atom_site_fract_z
_atom_site_occupancy
Mg1 Mg 0.0000 0.0000 0.0000 1
Pt1 Pt 0.0000 0.3408 0.5000 1
Pt2 Pt 0.3333 0.6667 0.0000 1
```


(3)
The following is a PBE-GGA calculation of a relaxed structure of CeAlFe2H8, from the Alexandria database.

Computed properties:
* E: -4.620 eV/atom

The structure in CIF format:
```
data_CeAlFe2H8
_symmetry_space_group_name_H-M 'R -3'
_symmetry_Int_Tables_number 148
_symmetry_space_group_name_Hall '-R 3'
_cell_length_a 4.4160
_cell_length_b 4.4160
_cell_length_c 16.4481
_cell_angle_alpha 90.00
_cell_angle_beta 90.00
_cell_angle_gamma 120.00
loop_
_atom_site_label
_atom_site_type_symbol
_atom_site_fract_x
_atom_site_fract_y
_atom_site_fract_z
_atom_site_occupancy
Ce1 Ce 0.0000 0.0000 0.0000 1
Al1 Al 0.0000 0.0000 0.5000 1
Fe1 Fe 0.0000 0.0000 0.1992 1
H1 H 0.0000 0.0000 0.2983 1
H2 H 0.0158 0.7405 0.8805 1
```


(4)
The following is a PBE-GGA calculation of a relaxed structure of ScPt2Br, from the Alexandria database.

Computed properties:
* offset from the most stable computed form: 578 meV/atom

The structure in CIF format:
```
data_ScPt2Br
_symmetry_space_group_name_H-M 'F m -3 m'
_symmetry_Int_Tables_number 225
_symmetry_space_group_name_Hall '-F 4 2 3'
_cell_length_a 6.6721
_cell_length_b 6.6721
_cell_length_c 6.6721
_cell_angle_alpha 90.00
_cell_angle_beta 90.00
_cell_angle_gamma 90.00
loop_
_atom_site_label
_atom_site_type_symbol
_atom_site_fract_x
_atom_site_fract_y
_atom_site_fract_z
_atom_site_occupancy
Sc1 Sc 0.0000 0.0000 0.0000 1
Pt1 Pt 0.2500 0.2500 0.2500 1
Br1 Br 0.0000 0.0000 0.5000 1
```


(5)
The following is a PBE-GGA calculation of a relaxed structure of DyHo3Th2Bi6, from the Alexandria database.

Computed properties:
* formation energy from the elements: -0.750 eV per atom

The structure in CIF format:
```
data_DyHo3Th2Bi6
_symmetry_space_group_name_H-M 'C 1 2/m 1'
_symmetry_Int_Tables_number 12
_cell_length_a 19.6471
_cell_length_b 4.5205
_cell_length_c 9.0096
_cell_angle_alpha 90.00
_cell_angle_beta 103.13
_cell_angle_gamma 90.00
loop_
_symmetry_equiv_pos_as_xyz
'x,y,z'
'-x,-y,-z'
'-x,y,-z'
'x,-y,z'
'x+1/2,y+1/2,z'
'-x+1/2,-y+1/2,-z'
'-x+1/2,y+1/2,-z'
'x+1/2,-y+1/2,z'
loop_
_atom_site_label
_atom_site_type_symbol
_atom_site_fract_x
_atom_site_fract_y
_atom_site_fract_z
_atom_site_occupancy
Dy1 Dy 0.0000 0.0000 0.0000 1
Ho1 Ho 0.0000 0.0000 0.5000 1
Ho2 Ho 0.1673 0.5000 0.8340 1
Th1 Th 0.1649 0.5000 0.3310 1
Bi1 Bi 0.0032 0.5000 0.7508 1
Bi2 Bi 0.1648 0.0000 0.5891 1
Bi3 Bi 0.1664 0.0000 0.0756 1
```


(6)
The following is a PBE-GGA calculation of a relaxed structure of SbAs2Br, from the Alexandria database.

Computed properties:
* offset from the most stable computed form: 45 meV/atom

The structure in CIF format:
```
data_SbAs2Br
_symmetry_space_group_name_H-M 'P 1 2/m 1'
_symmetry_Int_Tables_number 10
_cell_length_a 3.8336
_cell_length_b 5.2807
_cell_length_c 5.7702
_cell_angle_alpha 90.00
_cell_angle_beta 109.02
_cell_angle_gamma 90.00
loop_
_symmetry_equiv_pos_as_xyz
'x,y,z'
'-x,-y,-z'
'-x,y,-z'
'x,-y,z'
loop_
_atom_site_label
_atom_site_type_symbol
_atom_site_fract_x
_atom_site_fract_y
_atom_site_fract_z
_atom_site_occupancy
Sb1 Sb 0.0000 0.0000 0.0000 1
As1 As 0.1810 0.5000 0.8460 1
Br1 Br 0.5000 0.0000 0.5000 1
```


(7)
The following is a PBE-GGA calculation of a relaxed structure of ZrTaZn2Hg, from the Alexandria database.

Computed properties:
* formation energy from the elements: 1.049 eV per atom

The structure in CIF format:
```
data_ZrTaZn2Hg
_symmetry_space_group_name_H-M 'P 4/m m m'
_symmetry_Int_Tables_number 123
_symmetry_space_group_name_Hall '-P 4 2'
_cell_length_a 4.8523
_cell_length_b 4.8523
_cell_length_c 5.1579
_cell_angle_alpha 90.00
_cell_angle_beta 90.00
_cell_angle_gamma 90.00
loop_
_atom_site_label
_atom_site_type_symbol
_atom_site_fract_x
_atom_site_fract_y
_atom_site_fract_z
_atom_site_occupancy
Zr1 Zr 0.0000 0.0000 0.0000 1
Ta1 Ta 0.5000 0.5000 0.5000 1
Zn1 Zn 0.0000 0.5000 0.5000 1
Hg1 Hg 0.5000 0.5000 0.0000 1
```


(8)
The following is a PBE-GGA calculation of a relaxed structure of PmY5ErTm2, from the Alexandria database.

Computed properties:
* formation energy from the elements: 0.158 eV per atom

The structure in CIF format:
```
data_PmY5ErTm2
_symmetry_space_group_name_H-M 'C m c 21'
_symmetry_Int_Tables_number 36
_cell_length_a 5.6039
_cell_length_b 20.1488
_cell_length_c 10.4595
_cell_angle_alpha 90.00
_cell_angle_beta 90.00
_cell_angle_gamma 90.00
loop_
_symmetry_equiv_pos_as_xyz
'x,y,z'
'-x,-y,z+1/2'
'-x,y,z'
'x,-y,z+1/2'
'x+1/2,y+1/2,z'
'-x+1/2,-y+1/2,z+1/2'
'-x+1/2,y+1/2,z'
'x+1/2,-y+1/2,z+1/2'
loop_
_atom_site_label
_atom_site_type_symbol
_atom_site_fract_x
_atom_site_fract_y
_atom_site_fract_z
_atom_site_occupancy
Pm1 Pm 0.0000 0.1959 0.0000 1
Y1 Y 0.0000 0.0158 0.0073 1
Y2 Y 0.0000 0.2775 0.3004 1
Y3 Y 0.0000 0.3014 0.6898 1
Y4 Y 0.0000 0.3888 0.0104 1
Y5 Y 0.0000 0.4786 0.7231 1
Er1 Er 0.0000 0.4119 0.4352 1
Tm1 Tm 0.0000 0.1107 0.7217 1
Tm2 Tm 0.0000 0.1122 0.3027 1
```


no.,D(E_F) (states/eV/f.u.),calculated density (g/cm3)
1,4.0,4.8
2,9.5,17.6
3,5.3,5.1
4,1.1,11.5
5,4.9,10.1
6,1.0,5.3
7,6.3,8.3
8,15.6,6.2